[1]
ZrIrSe2: optimized geometry, PBE-GGA.

Summary:
**Total magnetization**: 0.00 Bohr magnetons per cell
**E_tot**: -0.500 Ry/atom
**Energy relative to the lowest polymorph listed for this composition**: 0.0 meV/atom
**E_form (uncorrected)**: -709 meV/atom

a b c (Å): 7.086 7.086 7.086
angles (deg): 149.72 144.73 47.15
Fractional positions:
1 Ir 0.250 0.750 0.500
2 Se 0.115 0.115 0.000
3 Se 0.385 0.385 0.000
4 Zr 0.750 0.250 0.500


[2]
ZrIrSe2: optimized geometry, PBE-GGA.

Summary:
**Total magnetization**: 0.00 Bohr magnetons per cell
**E_tot**: -0.497 Ry/atom
**Energy relative to the lowest polymorph listed for this composition**: 46.5 meV/atom
**E_form (uncorrected)**: -663 meV/atom

a b c (Å): 6.853 6.853 6.853
angles (deg): 150.43 148.38 43.84
Fractional positions:
1 Ir 0.261 0.761 0.500
2 Se 0.031 0.031 0.000
3 Se 0.775 0.275 0.500
4 Zr 0.433 0.433 0.000


[3]
ZrIrSe2: optimized geometry, PBE-GGA.

Summary:
**Total magnetization**: 0.00 Bohr magnetons per cell
**E_tot**: -0.451 Ry/atom
**Energy relative to the lowest polymorph listed for this composition**: 667.0 meV/atom
**E_form (uncorrected)**: -42 meV/atom

a b c (Å): 4.723 4.723 4.723
angles (deg): 60.00 60.00 60.00
Fractional positions:
1 Ir 0.500 0.500 0.500
2 Se 0.000 0.000 0.000
3 Se 0.250 0.250 0.250
4 Zr 0.750 0.750 0.750


[4]
ZrIrSe2: optimized geometry, PBE-GGA.

Summary:
**Total magnetization**: 0.00 Bohr magnetons per cell
**E_tot**: -0.491 Ry/atom
**Energy relative to the lowest polymorph listed for this composition**: 120.1 meV/atom
**E_form (uncorrected)**: -589 meV/atom

a b c (Å): 3.627 3.627 6.371
angles (deg): 90.00 90.00 90.00
Fractional positions:
1 Ir 0.500 0.500 0.735
2 Se 0.000 0.000 0.912
3 Se 0.500 0.500 0.341
4 Zr 0.000 0.000 0.512


[5]
ZrIrSe2: optimized geometry, PBE-GGA.

Summary:
**Total magnetization**: 0.00 Bohr magnetons per cell
**E_tot**: -0.478 Ry/atom
**Energy relative to the lowest polymorph listed for this composition**: 303.5 meV/atom
**E_form (uncorrected)**: -406 meV/atom

a b c (Å): 4.612 4.612 8.550
angles (deg): 74.35 74.35 90.00
Fractional positions:
1 Ir 0.000 0.000 0.000
2 Ir 0.750 0.250 0.500
3 Se 0.649 0.125 0.250
4 Se 0.101 0.625 0.250
5 Se 0.375 0.351 0.750
6 Se 0.875 0.899 0.750
7 Zr 0.500 0.500 0.000
8 Zr 0.250 0.750 0.500


[6]
Zr2IrSe: optimized geometry, PBE-GGA.

Summary:
**Total magnetization**: 0.00 Bohr magnetons per cell
**E_tot**: -0.601 Ry/atom
**E_form (uncorrected)**: -814 meV/atom

a b c (Å): 3.841 3.857 5.549
angles (deg): 90.00 90.00 90.00
Fractional positions:
1 Ir 0.000 0.000 0.375
2 Se 0.500 0.500 0.875
3 Zr 0.000 0.000 0.876
4 Zr 0.500 0.500 0.375


[7]
Zr2IrSe: optimized geometry, PBE-GGA.

Summary:
**Total magnetization**: 0.56 Bohr magnetons per cell
**E_tot**: -0.562 Ry/atom
**E_form (uncorrected)**: -283 meV/atom

a b c (Å): 8.722 8.722 8.722
angles (deg): 23.07 23.07 23.07
Each line ends with the local moment (μB).
Fractional positions:
1 Ir 0.506 0.506 0.506  0.08
2 Se 0.747 0.747 0.747  0.00
3 Zr 0.011 0.011 0.011  0.26
4 Zr 0.236 0.236 0.236  0.01


[8]
ZrIrSe2: optimized geometry, PBE-GGA.

Summary:
**Total magnetization**: 0.00 Bohr magnetons per cell
**E_tot**: -0.471 Ry/atom
**Energy relative to the lowest polymorph listed for this composition**: 399.8 meV/atom
**E_form (uncorrected)**: -310 meV/atom

a b c (Å): 4.637 4.637 4.637
angles (deg): 60.00 60.00 60.00
Fractional positions:
1 Ir 0.500 0.500 0.500
2 Se 0.250 0.250 0.250
3 Se 0.750 0.750 0.750
4 Zr 0.000 0.000 0.000


[9]
ZrIrSe2: optimized geometry, PBE-GGA.

Summary:
**Total magnetization**: 0.00 Bohr magnetons per cell
**E_tot**: -0.497 Ry/atom
**Energy relative to the lowest polymorph listed for this composition**: 46.3 meV/atom
**E_form (uncorrected)**: -663 meV/atom

a b c (Å): 3.630 3.729 7.428
angles (deg): 67.04 90.00 90.00
Fractional positions:
1 Ir 0.500 0.903 0.709
2 Se 0.000 0.994 0.914
3 Se 0.500 0.125 0.345
4 Zr 0.000 0.478 0.532


[10]
ZrIrSe2: optimized geometry, PBE-GGA.

Summary:
**Total magnetization**: 0.00 Bohr magnetons per cell
**E_tot**: -0.469 Ry/atom
**Energy relative to the lowest polymorph listed for this composition**: 418.0 meV/atom
**E_form (uncorrected)**: -291 meV/atom

a b c (Å): 5.187 4.233 4.230
angles (deg): 81.12 69.83 110.19
Fractional positions:
1 Ir 0.500 0.000 0.500
2 Se 0.000 0.000 0.000
3 Se 0.000 0.500 0.500
4 Zr 0.500 0.500 0.000


[11]
Zr2IrSe: optimized geometry, PBE-GGA.

Summary:
**Total magnetization**: 0.00 Bohr magnetons per cell
**E_tot**: -0.600 Ry/atom
**E_form (uncorrected)**: -808 meV/atom

a b c (Å): 3.171 3.171 7.423
angles (deg): 90.00 90.00 90.04
Fractional positions:
1 Ir 0.500 0.500 0.250
2 Se 0.500 0.500 0.750
3 Zr 0.000 0.000 0.006
4 Zr 0.000 0.000 0.494


[12]
Zr4IrSe: optimized geometry, PBE-GGA.

Summary:
**Total magnetization**: 0.00 Bohr magnetons per cell
**E_tot**: -0.547 Ry/atom
**E_form (uncorrected)**: 311 meV/atom

a b c (Å): 5.594 5.594 5.594
angles (deg): 60.00 60.00 60.00
Fractional positions:
1 Zr 0.872 0.376 0.376
2 Zr 0.376 0.376 0.872
3 Zr 0.376 0.872 0.376
4 Zr 0.376 0.376 0.376
5 Ir 0.750 0.750 0.750
6 Se 0.000 0.000 0.000


Question: Which formula does entry 7 have?
Answer: Zr2IrSe


Question: The highest E_tot belongs to which entry?
Answer: number 3